(1)
## Nd2Dy2H (PBE)

Data for a relaxed structure of Nd2Dy2H.

Calculated values
Space group: P4/mmm

a = 5.096 Å, b = 5.069 Å, c = 5.069 Å
α = 90.00°, β = 90.00°, γ = 90.00°
Fractional positions:
Nd 0.500 0.500 0.500
Nd 0.500 0.000 0.000
Dy 0.000 0.000 0.500
Dy 0.000 0.500 0.000
H 0.000 0.000 0.000



(2)
## Nd5Dy3H12 (PBE)

Data for a relaxed structure of Nd5Dy3H12.

Calculated values
Space group: Ia-3d

a = 11.620 Å, b = 11.620 Å, c = 11.620 Å
α = 109.47°, β = 109.47°, γ = 109.47°
Fractional positions:
Dy 0.750 0.375 0.125
Dy 0.875 0.750 0.125
Dy 0.375 0.750 0.625
Dy 0.250 0.125 0.375
Dy 0.875 0.125 0.250
Dy 0.375 0.625 0.250
Dy 0.625 0.375 0.750
Dy 0.125 0.875 0.750
Dy 0.750 0.875 0.625
Dy 0.625 0.250 0.375
Dy 0.125 0.250 0.875
Dy 0.250 0.625 0.875
Nd 0.125 0.375 0.250
Nd 0.000 0.500 0.000
Nd 0.000 0.000 0.000
Nd 0.375 0.250 0.125
Nd 0.500 0.000 0.500
Nd 0.500 0.500 0.000
Nd 0.125 0.750 0.375
Nd 0.750 0.125 0.875
Nd 0.750 0.625 0.375
Nd 0.375 0.125 0.750
Nd 0.625 0.875 0.250
Nd 0.500 0.500 0.500
Nd 0.500 0.000 0.000
Nd 0.000 0.000 0.500
Nd 0.250 0.375 0.625
Nd 0.250 0.875 0.125
Nd 0.000 0.500 0.500
Nd 0.875 0.250 0.625
Nd 0.625 0.750 0.875
Nd 0.875 0.625 0.750
H 0.729 0.160 0.073
H 0.343 0.573 0.413
H 0.927 0.340 0.271
H 0.573 0.229 0.160
H 0.569 0.729 0.657
H 0.927 0.587 0.157
H 0.343 0.771 0.431
H 0.087 0.931 0.160
H 0.587 0.927 0.657
H 0.729 0.569 0.157
H 0.771 0.427 0.340
H 0.843 0.913 0.073
H 0.160 0.729 0.573
H 0.340 0.413 0.069
H 0.069 0.913 0.340
H 0.431 0.160 0.587
H 0.069 0.157 0.229
H 0.427 0.657 0.087
H 0.843 0.931 0.271
H 0.160 0.431 0.087
H 0.340 0.927 0.771
H 0.587 0.660 0.431
H 0.913 0.843 0.573
H 0.771 0.343 0.931
H 0.413 0.340 0.569
H 0.087 0.157 0.427
H 0.229 0.657 0.069
H 0.157 0.069 0.729
H 0.660 0.073 0.229
H 0.840 0.569 0.913
H 0.573 0.343 0.913
H 0.569 0.840 0.413
H 0.931 0.843 0.771
H 0.931 0.087 0.660
H 0.840 0.271 0.427
H 0.157 0.087 0.927
H 0.660 0.587 0.931
H 0.413 0.073 0.343
H 0.271 0.431 0.843
H 0.229 0.573 0.660
H 0.913 0.069 0.840
H 0.657 0.229 0.569
H 0.427 0.771 0.840
H 0.073 0.413 0.843
H 0.431 0.271 0.343
H 0.073 0.660 0.729
H 0.657 0.427 0.587
H 0.271 0.840 0.927



(3)
## Nd3Dy5H12 (PBE)

Data for a relaxed structure of Nd3Dy5H12.

Calculated values
Space group: Ia-3d

a = 11.517 Å, b = 11.517 Å, c = 11.517 Å
α = 109.47°, β = 109.47°, γ = 109.47°
Fractional positions:
Nd 0.750 0.375 0.125
Nd 0.875 0.750 0.125
Nd 0.375 0.750 0.625
Nd 0.250 0.125 0.375
Nd 0.875 0.125 0.250
Nd 0.375 0.625 0.250
Nd 0.625 0.375 0.750
Nd 0.125 0.875 0.750
Nd 0.750 0.875 0.625
Nd 0.625 0.250 0.375
Nd 0.125 0.250 0.875
Nd 0.250 0.625 0.875
Dy 0.125 0.375 0.250
Dy 0.000 0.500 0.000
Dy 0.000 0.000 0.000
Dy 0.375 0.250 0.125
Dy 0.500 0.000 0.500
Dy 0.500 0.500 0.000
Dy 0.125 0.750 0.375
Dy 0.750 0.125 0.875
Dy 0.750 0.625 0.375
Dy 0.375 0.125 0.750
Dy 0.625 0.875 0.250
Dy 0.500 0.500 0.500
Dy 0.500 0.000 0.000
Dy 0.000 0.000 0.500
Dy 0.250 0.375 0.625
Dy 0.250 0.875 0.125
Dy 0.000 0.500 0.500
Dy 0.875 0.250 0.625
Dy 0.625 0.750 0.875
Dy 0.875 0.625 0.750
H 0.720 0.146 0.059
H 0.339 0.559 0.414
H 0.941 0.354 0.280
H 0.559 0.220 0.146
H 0.574 0.720 0.661
H 0.941 0.586 0.161
H 0.339 0.780 0.426
H 0.086 0.926 0.146
H 0.586 0.941 0.661
H 0.720 0.574 0.161
H 0.780 0.441 0.354
H 0.839 0.914 0.059
H 0.146 0.720 0.559
H 0.354 0.414 0.074
H 0.074 0.914 0.354
H 0.426 0.146 0.586
H 0.074 0.161 0.220
H 0.441 0.661 0.086
H 0.839 0.926 0.280
H 0.146 0.426 0.086
H 0.354 0.941 0.780
H 0.586 0.646 0.426
H 0.914 0.839 0.559
H 0.780 0.339 0.926
H 0.414 0.354 0.574
H 0.086 0.161 0.441
H 0.220 0.661 0.074
H 0.161 0.074 0.720
H 0.646 0.059 0.220
H 0.854 0.574 0.914
H 0.559 0.339 0.914
H 0.574 0.854 0.414
H 0.926 0.839 0.780
H 0.926 0.086 0.646
H 0.854 0.280 0.441
H 0.161 0.086 0.941
H 0.646 0.586 0.926
H 0.414 0.059 0.339
H 0.280 0.426 0.839
H 0.220 0.559 0.646
H 0.914 0.074 0.854
H 0.661 0.220 0.574
H 0.441 0.780 0.854
H 0.059 0.414 0.839
H 0.426 0.280 0.339
H 0.059 0.646 0.720
H 0.661 0.441 0.586
H 0.280 0.854 0.941



(4)
## Pm2NdDyH (PBE)

Data for a relaxed structure of Pm2NdDyH.

Calculated values
Space group: P4/mmm

a = 5.086 Å, b = 5.115 Å, c = 5.115 Å
α = 90.00°, β = 90.00°, γ = 90.00°
Fractional positions:
Pm 0.000 0.000 0.500
Pm 0.000 0.500 0.000
Nd 0.500 0.500 0.500
Dy 0.500 0.000 0.000
H 0.000 0.000 0.000



| no. | E_tot (eV/cell) |
| --- | --- |
| 1 | -22.94 |
| 2 | -345.81 |
| 3 | -346.75 |
| 4 | -23.10 |